[1]
## InMoPb2 (PBE-GGA)

Data for crystalline InMoPb2 at its relaxed geometry.

Output
- ΔE_f: 0.69 eV per atom
- Spin magnetization: 2.324 μB per formula unit

Cell lengths 5.7053, 5.7053, 5.7053 Å; angles 132.91, 132.91, 68.79 degrees
With the nearest neighbours (Å) after each atom.
Positions (direct):
Mo  0.7500  0.2500  0.5000  8 Pb 3.22-3.28, 4 In 3.28
Pb  0.0000  0.0000  0.0000  4 In 3.22, 4 Mo 3.28, 4 Pb 3.28
Pb  0.2500  0.7500  0.5000  4 Mo 3.22, 4 Pb 3.28, 4 In 3.28
In  0.5000  0.5000  0.0000  8 Pb 3.22-3.28, 4 Mo 3.28

=====

[2]
## Ba3Na2Li (PBE-GGA)

Data for crystalline Ba3Na2Li at its relaxed geometry.

Output
- ΔE_f: 0.02 eV per atom
- Spin magnetization: 0.000 μB per formula unit

Cell lengths 6.4150, 10.1311, 9.4781 Å; angles 90.00, 90.00, 71.39 degrees
With the nearest neighbours (Å) after each atom.
Positions (direct):
Na  0.0000  0.0000  0.5000  8 Ba 4.05-4.14, 4 Na 4.51-4.52
Na  0.3344  0.3315  0.5000  8 Ba 4.03-4.08, 1 Na 4.51
Na  0.0000  0.0000  0.0000  8 Ba 3.92-3.95
Na  0.6656  0.6685  0.5000  8 Ba 4.03-4.08, 1 Na 4.51
Li  0.6643  0.6699  0.0000  8 Ba 3.85-3.90
Li  0.3357  0.3301  0.0000  8 Ba 3.85-3.90
Ba  0.1703  0.6588  0.7664  3 Li 3.85-3.90, 5 Na 3.95-4.14
Ba  0.8296  0.3412  0.7664  3 Li 3.85-3.90, 5 Na 3.95-4.14
Ba  0.5000  0.0000  0.2384  2 Li 3.89, 6 Na 3.92-4.05
Ba  0.8297  0.3412  0.2336  3 Li 3.85-3.90, 5 Na 3.95-4.14
Ba  0.1704  0.6588  0.2336  3 Li 3.85-3.90, 5 Na 3.95-4.14
Ba  0.5000  0.0000  0.7616  2 Li 3.89, 6 Na 3.92-4.05

=====

[3]
## La3Al3Zn8 (PBE-GGA)

Data for crystalline La3Al3Zn8 at its relaxed geometry.

Output
- ΔE_f: -0.36 eV per atom
- Spin magnetization: 0.000 μB per formula unit

Cell lengths 4.4615, 8.4517, 8.4517 Å; angles 68.83, 74.70, 74.70 degrees
With the nearest neighbours (Å) after each atom.
Positions (direct):
La  0.5000  0.5000  0.5000  12 Zn 3.22-3.34, 4 Al 3.57
La  0.1968  0.8032  0.8032  12 Zn 3.18-3.51, 4 Al 3.27-3.43
La  0.8032  0.1968  0.1968  12 Zn 3.18-3.51, 4 Al 3.27-3.43
Zn  0.1606  0.4752  0.2035  1 Al 2.59, 4 Zn 2.60-2.77
Zn  0.3607  0.9160  0.3626  3 Zn 2.62-2.77, 3 Al 2.82-2.90
Zn  0.6393  0.0840  0.6374  3 Zn 2.62-2.77, 3 Al 2.82-2.90
Zn  0.6393  0.6374  0.0840  3 Zn 2.62-2.77, 3 Al 2.82-2.90
Zn  0.3607  0.3626  0.9160  3 Zn 2.62-2.77, 3 Al 2.82-2.90
Zn  0.8394  0.7965  0.5248  1 Al 2.59, 4 Zn 2.60-2.77
Zn  0.8394  0.5248  0.7965  1 Al 2.59, 4 Zn 2.60-2.77
Zn  0.1606  0.2035  0.4752  1 Al 2.59, 4 Zn 2.60-2.77
Al  0.5000  0.0000  0.0000  4 Zn 2.82, 4 Al 2.99
Al  0.0000  0.7920  0.2080  6 Zn 2.59-2.90
Al  0.0000  0.2080  0.7920  6 Zn 2.59-2.90

=====

[4]
## HfTe3As (PBE-GGA)

Data for crystalline HfTe3As at its relaxed geometry.

Output
- Formation energy from raw total energies: 0.63 eV per atom
- Spin magnetization: 0.241 μB per formula unit

Cell lengths 5.3018, 5.3018, 5.3018 Å; angles 90.00, 90.00, 90.00 degrees
With the nearest neighbours (Å) after each atom.
Positions (direct):
Te  0.0000  0.5000  0.0000  2 As 2.65
Te  0.0000  0.0000  0.5000  2 As 2.65
Te  0.5000  0.0000  0.0000  2 As 2.65
As  0.0000  0.0000  0.0000  6 Te 2.65
Hf  0.5000  0.5000  0.5000  12 Te 3.75

=====

[5]
## Mg3RePt (PBE-GGA)

Data for crystalline Mg3RePt at its relaxed geometry.

Output
- ΔE_f: 1.26 eV per atom
- Spin magnetization: 1.199 μB per formula unit

Cell lengths 4.9429, 4.9429, 4.9429 Å; angles 90.00, 90.00, 90.00 degrees
With the nearest neighbours (Å) after each atom.
Positions (direct):
Mg  0.5000  0.0000  0.0000  2 Re 2.47
Mg  0.0000  0.5000  0.0000  2 Re 2.47
Mg  0.0000  0.0000  0.5000  2 Re 2.47
Pt  0.5000  0.5000  0.5000  12 Mg 3.50
Re  0.0000  0.0000  0.0000  6 Mg 2.47

=====

[6]
## TlGaTc2 (PBE-GGA)

Data for crystalline TlGaTc2 at its relaxed geometry.

Output
- ΔE_f: 0.54 eV per atom
- Spin magnetization: 1.789 μB per formula unit

Cell lengths 4.5379, 4.5379, 4.5379 Å; angles 60.00, 60.00, 60.00 degrees
With the nearest neighbours (Å) after each atom.
Positions (direct):
Tl  0.5000  0.5000  0.5000  8 Tc 2.78
Tc  0.7500  0.7500  0.7500  4 Ga 2.78, 4 Tl 2.78
Tc  0.2500  0.2500  0.2500  4 Tl 2.78, 4 Ga 2.78
Ga  0.0000  0.0000  0.0000  8 Tc 2.78

=====

[7]
## LaZnRe2 (PBE-GGA)

Data for crystalline LaZnRe2 at its relaxed geometry.

Output
- ΔE_f: 0.48 eV per atom
- Spin magnetization: 0.000 μB per formula unit

Cell lengths 4.6906, 4.0976, 4.4223 Å; angles 80.02, 90.00, 90.00 degrees
With the nearest neighbours (Å) after each atom.
Positions (direct):
La  0.5000  0.7500  0.7500  2 Zn 2.74
Zn  0.5000  0.2500  0.2500  4 Re 2.63, 2 La 2.74
Re  0.0000  0.4550  0.4098  2 Re 2.38-2.58, 2 Zn 2.63
Re  0.0000  0.0450  0.0902  2 Re 2.38-2.58, 2 Zn 2.63

=====

[8]
## SrTiAs2Se (PBE-GGA)

Data for crystalline SrTiAs2Se at its relaxed geometry.

Output
- Formation energy from raw total energies: -0.78 eV per atom
- Spin magnetization: 0.000 μB per formula unit

Cell lengths 4.9473, 4.9473, 5.1000 Å; angles 90.00, 90.00, 90.00 degrees
With the nearest neighbours (Å) after each atom.
Positions (direct):
As  0.0000  0.5000  0.0000  2 Ti 2.47
As  0.5000  0.0000  0.0000  2 Ti 2.47
Ti  0.0000  0.0000  0.0000  4 As 2.47, 2 Se 2.55
Se  0.0000  0.0000  0.5000  2 Ti 2.55
Sr  0.5000  0.5000  0.5000  4 Se 3.50, 8 As 3.55

=====

[9]
## Ac3ZrSn5 (PBE-GGA)

Data for crystalline Ac3ZrSn5 at its relaxed geometry.

Output
- ΔE_f: -0.60 eV per atom
- Spin magnetization: 0.000 μB per formula unit

Cell lengths 6.5880, 9.8949, 9.8949 Å; angles 120.00, 90.00, 90.00 degrees
With the nearest neighbours (Å) after each atom.
Positions (direct):
Ac  0.7500  0.6144  0.6144  9 Sn 3.36-3.54
Ac  0.7500  0.3856  0.0000  9 Sn 3.36-3.54
Ac  0.2500  0.3856  0.3856  9 Sn 3.36-3.54
Ac  0.2500  0.0000  0.6144  9 Sn 3.36-3.54
Ac  0.7500  0.0000  0.3856  9 Sn 3.36-3.54
Ac  0.2500  0.6144  0.0000  9 Sn 3.36-3.54
Sn  0.0000  0.6667  0.3333  2 Sn 3.29, 6 Ac 3.49
Sn  0.2500  0.0000  0.2568  2 Zr 3.03, 2 Ac 3.36
Sn  0.7500  0.2568  0.2568  2 Zr 3.03, 2 Ac 3.36
Sn  0.7500  0.0000  0.7432  2 Zr 3.03, 2 Ac 3.36
Sn  0.0000  0.3333  0.6667  2 Sn 3.29, 6 Ac 3.49
Sn  0.2500  0.2568  0.0000  2 Zr 3.03, 2 Ac 3.36
Sn  0.5000  0.6667  0.3333  2 Sn 3.29, 6 Ac 3.49
Sn  0.2500  0.7432  0.7432  2 Zr 3.03, 2 Ac 3.36
Sn  0.7500  0.7432  0.0000  2 Zr 3.03, 2 Ac 3.36
Sn  0.5000  0.3333  0.6667  2 Sn 3.29, 6 Ac 3.49
Zr  0.0000  0.0000  0.0000  6 Sn 3.03, 2 Zr 3.29
Zr  0.5000  0.0000  0.0000  6 Sn 3.03, 2 Zr 3.29

=====

[10]
## Na3CaBr (PBE-GGA)

Data for crystalline Na3CaBr at its relaxed geometry.

Output
- Formation energy from raw total energies: -0.35 eV per atom
- Spin magnetization: 0.001 μB per formula unit

Cell lengths 5.8341, 5.8341, 5.8341 Å; angles 90.00, 90.00, 90.00 degrees
With the nearest neighbours (Å) after each atom.
Positions (direct):
Na  0.0000  0.0000  0.5000  2 Br 2.92
Na  0.5000  0.0000  0.0000  2 Br 2.92
Na  0.0000  0.5000  0.0000  2 Br 2.92
Br  0.0000  0.0000  0.0000  6 Na 2.92
Ca  0.5000  0.5000  0.5000  12 Na 4.13

=====

[11]
## FeAs4Au (PBE-GGA)

Data for crystalline FeAs4Au at its relaxed geometry.

Output
- ΔE_f: 0.69 eV per atom
- Spin magnetization: 3.620 μB per formula unit

Cell lengths 5.4811, 5.4811, 5.4811 Å; angles 60.00, 60.00, 60.00 degrees
With the nearest neighbours (Å) after each atom.
Positions (direct):
Au  0.2500  0.2500  0.2500  12 As 3.21, 4 Fe 3.36
As  0.6248  0.6248  0.1256  6 As 2.74
As  0.6248  0.6248  0.6248  6 As 2.74
As  0.6248  0.1256  0.6248  6 As 2.74
As  0.1256  0.6248  0.6248  6 As 2.74
Fe  0.0000  0.0000  0.0000  12 As 3.21, 4 Au 3.36

=====

[12]
## Ac2La2Pr4Er (PBE-GGA)

Data for crystalline Ac2La2Pr4Er at its relaxed geometry.

Output
- ΔE_f: 0.03 eV per atom
- Spin magnetization: 0.000 μB per formula unit

Cell lengths 3.8066, 9.9634, 10.1355 Å; angles 115.11, 90.00, 101.01 degrees
With the nearest neighbours (Å) after each atom.
Positions (direct):
Pr  0.4817  0.9633  0.6836  2 Er 3.61, 1 La 3.63, 4 Pr 3.72-3.81, 4 Ac 3.78-3.83
Pr  0.5183  0.0367  0.3164  2 Er 3.61, 1 La 3.63, 4 Pr 3.72-3.81, 4 Ac 3.78-3.83
Pr  0.1850  0.3701  0.3323  2 La 3.71, 6 Pr 3.72-3.81, 1 Er 3.73, 3 Ac 3.79-3.84
Pr  0.8150  0.6299  0.6677  2 La 3.71, 6 Pr 3.72-3.81, 1 Er 3.73, 3 Ac 3.79-3.84
Ac  0.1441  0.2883  0.6651  7 Pr 3.78-3.84, 3 La 3.78-3.81, 2 Ac 3.81
Ac  0.8559  0.7117  0.3349  7 Pr 3.78-3.84, 3 La 3.78-3.81, 2 Ac 3.81
Er  0.0000  0.0000  0.0000  6 Pr 3.61-3.73, 4 La 3.72, 2 Er 3.81
La  0.3362  0.6724  0.9978  3 Pr 3.63-3.71, 2 Er 3.72, 3 Ac 3.78-3.81, 4 La 3.81-3.89
La  0.6638  0.3276  0.0022  3 Pr 3.63-3.71, 2 Er 3.72, 3 Ac 3.78-3.81, 4 La 3.81-3.89